## ZnRh2Cl (PBE)

Data for a relaxed ZnRh2Cl crystal.

Cell lengths 4.3346, 2.9510, 4.7954 Å; angles 91.15, 90.00, 90.00 degrees
Sites, in units of the cell vectors:
Zn  0.5000  0.2500  0.2500
Cl  0.5000  0.7500  0.7500
Rh  0.0000  0.5125  0.4961
Rh  0.0000  0.9875  0.0039

Output
calculated total energy	-0.3117	Ry per atom
uncorrected formation energy	215	meV per atom
E above lowest polymorph	0.242	eV/atom
space group	P2/m, No. 10